(1)
Compound: AcPm12Y2
Source: the Alexandria database
Functional: PBE-GGA
Structure: optimized geometry

Summary:
Size of the total moment: 0.00 μB per cell
Calculated total energy: -4.886 eV/atom
Formation enthalpy at 0 K: 0.050 eV/atom

Cell: 6.739 6.747 25.629 Å, 82.49 86.79 64.70°
Space group P-1 (No. 2)
Inequivalent atoms, fractional coordinates:
Ac  0.248  0.245  0.004 (multiplicity 2)
Pm  0.007  0.843  0.334 (multiplicity 2)
Pm  0.009  0.108  0.796 (multiplicity 2)
Pm  0.249  0.051  0.403 (multiplicity 2)
Pm  0.249  0.521  0.463 (multiplicity 2)
Pm  0.249  0.711  0.076 (multiplicity 2)
Pm  0.250  0.181  0.144 (multiplicity 2)
Pm  0.250  0.978  0.539 (multiplicity 2)
Pm  0.251  0.445  0.602 (multiplicity 2)
Pm  0.252  0.315  0.865 (multiplicity 2)
Pm  0.252  0.786  0.924 (multiplicity 2)
Pm  0.491  0.329  0.335 (multiplicity 2)
Pm  0.492  0.591  0.795 (multiplicity 2)
Y  0.001  0.632  0.730 (multiplicity 2)
Y  0.499  0.868  0.270 (multiplicity 2)


(2)
Compound: Ac2PmY
Source: the Alexandria database
Functional: PBE-GGA
Structure: optimized geometry

Summary:
Size of the total moment: 0.00 μB per cell
Calculated total energy: -4.818 eV/atom
Formation enthalpy at 0 K: 0.040 eV/atom
Excess energy over the best structure of this formula in the dataset: 0.007 eV/atom

Cell: 3.886 3.886 10.245 Å, 90.00 90.00 90.00°
Space group P4/mmm (No. 123)
Inequivalent atoms, fractional coordinates:
Ac  0.000  0.000  0.247 (multiplicity 2)
Pm  0.500  0.500  0.500 (multiplicity 1)
Y  0.500  0.500  0.000 (multiplicity 1)


(3)
Compound: Ac3Pm12Y
Source: the Alexandria database
Functional: PBE-GGA
Structure: optimized geometry

Summary:
Size of the total moment: 0.00 μB per cell
Calculated total energy: -4.709 eV/atom
Formation enthalpy at 0 K: 0.028 eV/atom

Cell: 5.248 5.248 20.955 Å, 90.00 90.00 90.00°
Space group P4/mmm (No. 123)
Inequivalent atoms, fractional coordinates:
Ac  0.000  0.000  0.000 (multiplicity 1)
Ac  0.000  0.000  0.253 (multiplicity 2)
Pm  0.000  0.500  0.126 (multiplicity 4)
Pm  0.000  0.500  0.380 (multiplicity 4)
Pm  0.500  0.500  0.000 (multiplicity 1)
Pm  0.500  0.500  0.254 (multiplicity 2)
Pm  0.500  0.500  0.500 (multiplicity 1)
Y  0.000  0.000  0.500 (multiplicity 1)